# SiH10C2N4O2F6

A geometry-optimized SiH10C2N4O2F6 structure (PBEsol, Alexandria via LeMat-Bulk).

Properties
- Total magnetic moment: 0.000 μB per atom
- DFT total energy: -591.5 eV for the cell shown
- Space-group type: Pbca

a = 8.210 Å, b = 9.010 Å, c = 12.105 Å
α = 90.00°, β = 90.00°, γ = 90.00°
Fractional positions:
Si: 0.000 0.500 0.500
Si: 0.500 0.000 0.500
Si: 0.500 0.500 0.000
Si: 0.000 0.000 0.000
H: 0.411 0.255 0.670
H: 0.089 0.755 0.330
H: 0.911 0.745 0.830
H: 0.589 0.245 0.170
H: 0.589 0.745 0.330
H: 0.911 0.245 0.670
H: 0.089 0.255 0.170
H: 0.411 0.755 0.830
H: 0.248 0.381 0.654
H: 0.252 0.881 0.346
H: 0.748 0.619 0.846
H: 0.752 0.119 0.154
H: 0.752 0.619 0.346
H: 0.748 0.119 0.654
H: 0.252 0.381 0.154
H: 0.248 0.881 0.846
H: 0.318 0.625 0.594
H: 0.182 0.125 0.406
H: 0.818 0.375 0.906
H: 0.682 0.875 0.094
H: 0.682 0.375 0.406
H: 0.818 0.875 0.594
H: 0.182 0.625 0.094
H: 0.318 0.125 0.906
H: 0.522 0.684 0.599
H: 0.978 0.184 0.401
H: 0.022 0.316 0.901
H: 0.478 0.816 0.099
H: 0.478 0.316 0.401
H: 0.022 0.816 0.599
H: 0.978 0.684 0.099
H: 0.522 0.184 0.901
H: 0.711 0.498 0.621
H: 0.789 0.998 0.379
H: 0.211 0.502 0.879
H: 0.289 0.002 0.121
H: 0.289 0.502 0.379
H: 0.211 0.002 0.621
H: 0.789 0.498 0.121
H: 0.711 0.998 0.879
C: 0.479 0.467 0.646
C: 0.021 0.967 0.354
C: 0.979 0.533 0.854
C: 0.521 0.033 0.146
C: 0.521 0.533 0.354
C: 0.979 0.033 0.646
C: 0.021 0.467 0.146
C: 0.479 0.967 0.854
N: 0.370 0.363 0.668
N: 0.130 0.863 0.332
N: 0.870 0.637 0.832
N: 0.630 0.137 0.168
N: 0.630 0.637 0.332
N: 0.870 0.137 0.668
N: 0.130 0.363 0.168
N: 0.370 0.863 0.832
N: 0.437 0.602 0.614
N: 0.063 0.102 0.386
N: 0.937 0.398 0.886
N: 0.563 0.898 0.114
N: 0.563 0.398 0.386
N: 0.937 0.898 0.614
N: 0.063 0.602 0.114
N: 0.437 0.102 0.886
O: 0.632 0.428 0.660
O: 0.868 0.928 0.340
O: 0.132 0.572 0.840
O: 0.368 0.072 0.160
O: 0.368 0.572 0.340
O: 0.132 0.072 0.660
O: 0.868 0.428 0.160
O: 0.632 0.928 0.840
F: 0.030 0.410 0.622
F: 0.470 0.910 0.378
F: 0.530 0.590 0.878
F: 0.970 0.090 0.122
F: 0.970 0.590 0.378
F: 0.530 0.090 0.622
F: 0.470 0.410 0.122
F: 0.030 0.910 0.878
F: 0.884 0.356 0.454
F: 0.616 0.856 0.546
F: 0.384 0.644 0.046
F: 0.116 0.144 0.954
F: 0.116 0.644 0.546
F: 0.384 0.144 0.454
F: 0.616 0.356 0.954
F: 0.884 0.856 0.046
F: 0.829 0.584 0.552
F: 0.671 0.084 0.448
F: 0.329 0.416 0.948
F: 0.171 0.916 0.052
F: 0.171 0.416 0.448
F: 0.329 0.916 0.552
F: 0.671 0.584 0.052
F: 0.829 0.084 0.948

---

# SnH24C6N2O2F6

A geometry-optimized SnH24C6N2O2F6 structure (PBEsol, Alexandria via LeMat-Bulk).

Properties
- Total magnetic moment: 0.003 μB per atom
- DFT total energy: -212.4 eV for the cell shown
- Space-group type: C2/m

a = 7.213 Å, b = 8.174 Å, c = 7.913 Å
α = 115.85°, β = 90.00°, γ = 116.18°
Fractional positions:
Sn: 0.000 0.000 0.000
H: 0.692 0.384 0.291
H: 0.308 0.616 0.709
H: 0.652 0.082 0.235
H: 0.430 0.082 0.235
H: 0.348 0.918 0.765
H: 0.570 0.918 0.765
H: 0.063 0.543 0.305
H: 0.480 0.543 0.305
H: 0.937 0.457 0.695
H: 0.520 0.457 0.695
H: 0.065 0.776 0.336
H: 0.711 0.776 0.336
H: 0.935 0.224 0.664
H: 0.289 0.224 0.664
H: 0.011 0.702 0.522
H: 0.691 0.702 0.522
H: 0.989 0.298 0.478
H: 0.309 0.298 0.478
H: 0.798 0.347 0.000
H: 0.549 0.347 0.000
H: 0.202 0.653 0.000
H: 0.451 0.653 0.000
H: 0.788 0.577 0.034
H: 0.212 0.423 0.966
C: 0.991 0.644 0.366
C: 0.653 0.644 0.366
C: 0.009 0.356 0.634
C: 0.347 0.356 0.634
C: 0.722 0.444 0.063
C: 0.278 0.556 0.937
N: 0.761 0.522 0.274
N: 0.239 0.478 0.726
O: 0.585 0.171 0.294
O: 0.415 0.829 0.706
F: 0.168 0.943 0.147
F: 0.776 0.943 0.147
F: 0.832 0.057 0.853
F: 0.224 0.057 0.853
F: 0.851 0.703 0.801
F: 0.149 0.297 0.199

---

# SnH4C2NO4F

A geometry-optimized SnH4C2NO4F structure (PBEsol, Alexandria via LeMat-Bulk).

Properties
- Total magnetic moment: 0.000 μB per atom
- DFT total energy: -328.9 eV for the cell shown
- Space-group type: P2_1/c

a = 7.633 Å, b = 8.299 Å, c = 9.849 Å
α = 90.00°, β = 90.00°, γ = 110.58°
Fractional positions:
Sn: 0.020 0.370 0.183
Sn: 0.480 0.630 0.683
Sn: 0.980 0.630 0.817
Sn: 0.520 0.370 0.317
H: 0.729 0.988 0.235
H: 0.771 0.012 0.735
H: 0.025 0.819 0.272
H: 0.552 0.976 0.345
H: 0.821 0.161 0.860
H: 0.271 0.012 0.765
H: 0.679 0.839 0.360
H: 0.475 0.181 0.772
H: 0.179 0.839 0.140
H: 0.975 0.181 0.728
H: 0.525 0.819 0.228
H: 0.948 0.024 0.845
H: 0.229 0.988 0.265
H: 0.052 0.976 0.155
H: 0.321 0.161 0.640
H: 0.448 0.024 0.655
C: 0.618 0.692 0.984
C: 0.925 0.716 0.517
C: 0.882 0.308 0.484
C: 0.425 0.716 0.983
C: 0.382 0.308 0.016
C: 0.075 0.284 0.483
C: 0.575 0.284 0.017
C: 0.118 0.692 0.516
N: 0.380 0.095 0.705
N: 0.120 0.905 0.205
N: 0.620 0.905 0.295
N: 0.880 0.095 0.795
O: 0.193 0.679 0.407
O: 0.154 0.296 0.367
O: 0.640 0.254 0.908
O: 0.346 0.704 0.867
O: 0.693 0.679 0.093
O: 0.846 0.704 0.633
O: 0.140 0.254 0.592
O: 0.815 0.313 0.364
O: 0.307 0.321 0.907
O: 0.860 0.746 0.408
O: 0.360 0.746 0.092
O: 0.185 0.687 0.636
O: 0.654 0.296 0.133
O: 0.685 0.687 0.864
O: 0.315 0.313 0.136
O: 0.807 0.321 0.593
F: 0.415 0.107 0.360
F: 0.085 0.893 0.860
F: 0.915 0.107 0.140
F: 0.585 0.893 0.640

---

# VH8C2N2O6F

A geometry-optimized VH8C2N2O6F structure (PBEsol, Alexandria via LeMat-Bulk).

Properties
- Total magnetic moment: 0.000 μB per atom
- DFT total energy: -515.3 eV for the cell shown
- Space-group type: P2_1/c

a = 7.149 Å, b = 9.559 Å, c = 11.416 Å
α = 90.00°, β = 95.78°, γ = 90.00°
Fractional positions:
V: 0.189 0.532 0.744
V: 0.311 0.032 0.256
V: 0.811 0.468 0.256
V: 0.689 0.968 0.744
H: 0.225 0.976 0.832
H: 0.275 0.476 0.168
H: 0.775 0.024 0.168
H: 0.725 0.524 0.832
H: 0.260 0.802 0.871
H: 0.240 0.302 0.129
H: 0.740 0.198 0.129
H: 0.760 0.698 0.871
H: 0.269 0.929 0.976
H: 0.231 0.429 0.024
H: 0.731 0.071 0.024
H: 0.769 0.571 0.976
H: 0.060 0.889 0.897
H: 0.440 0.389 0.103
H: 0.940 0.111 0.103
H: 0.560 0.611 0.897
H: 0.280 0.886 0.613
H: 0.220 0.386 0.387
H: 0.720 0.114 0.387
H: 0.780 0.614 0.613
H: 0.179 0.734 0.572
H: 0.321 0.234 0.428
H: 0.821 0.266 0.428
H: 0.679 0.766 0.572
H: 0.039 0.878 0.581
H: 0.461 0.378 0.419
H: 0.961 0.122 0.419
H: 0.539 0.622 0.581
H: 0.186 0.862 0.471
H: 0.314 0.362 0.529
H: 0.814 0.138 0.529
H: 0.686 0.638 0.471
C: 0.412 0.775 0.153
C: 0.088 0.275 0.847
C: 0.588 0.225 0.847
C: 0.912 0.725 0.153
C: 0.324 0.732 0.265
C: 0.176 0.232 0.735
C: 0.676 0.268 0.735
C: 0.824 0.768 0.265
N: 0.205 0.900 0.894
N: 0.295 0.400 0.106
N: 0.795 0.100 0.106
N: 0.705 0.600 0.894
N: 0.168 0.842 0.559
N: 0.332 0.342 0.441
N: 0.832 0.158 0.441
N: 0.668 0.658 0.559
O: 0.319 0.630 0.839
O: 0.181 0.130 0.161
O: 0.681 0.370 0.161
O: 0.819 0.870 0.839
O: 0.494 0.885 0.704
O: 0.006 0.385 0.296
O: 0.506 0.115 0.296
O: 0.994 0.615 0.704
O: 0.403 0.910 0.135
O: 0.097 0.410 0.865
O: 0.597 0.090 0.865
O: 0.903 0.590 0.135
O: 0.276 0.841 0.324
O: 0.224 0.341 0.676
O: 0.724 0.159 0.676
O: 0.776 0.659 0.324
O: 0.983 0.810 0.090
O: 0.517 0.310 0.910
O: 0.017 0.190 0.910
O: 0.483 0.690 0.090
O: 0.303 0.609 0.292
O: 0.197 0.109 0.708
O: 0.697 0.391 0.708
O: 0.803 0.891 0.292
F: 0.313 0.574 0.610
F: 0.187 0.074 0.390
F: 0.687 0.426 0.390
F: 0.813 0.926 0.610

---

# SiH14C4S2N8F6

A geometry-optimized SiH14C4S2N8F6 structure (PBEsol, Alexandria via LeMat-Bulk).

Properties
- Total magnetic moment: 0.000 μB per atom
- DFT total energy: -210.8 eV for the cell shown
- Space-group type: P-1

a = 6.597 Å, b = 7.423 Å, c = 7.884 Å
α = 83.86°, β = 83.73°, γ = 64.91°
Fractional positions:
Si: 0.500 0.500 0.000
H: 0.874 0.364 0.225
H: 0.126 0.636 0.775
H: 0.222 0.570 0.350
H: 0.778 0.430 0.650
H: 0.651 0.045 0.620
H: 0.349 0.955 0.380
H: 0.226 0.021 0.946
H: 0.774 0.979 0.054
H: 0.306 0.489 0.561
H: 0.694 0.511 0.439
H: 0.435 0.847 0.174
H: 0.565 0.153 0.826
H: 0.991 0.251 0.970
H: 0.009 0.749 0.030
C: 0.163 0.114 0.186
C: 0.837 0.886 0.814
C: 0.006 0.735 0.538
C: 0.994 0.265 0.462
S: 0.187 0.112 0.594
S: 0.813 0.888 0.406
N: 0.666 0.039 0.751
N: 0.334 0.961 0.249
N: 0.196 0.590 0.479
N: 0.804 0.410 0.521
N: 0.012 0.259 0.286
N: 0.988 0.741 0.714
N: 0.129 0.137 0.020
N: 0.871 0.863 0.980
F: 0.250 0.555 0.119
F: 0.750 0.445 0.881
F: 0.586 0.256 0.068
F: 0.414 0.744 0.932
F: 0.614 0.540 0.172
F: 0.386 0.460 0.828

---

# SiH12C2N2F6

A geometry-optimized SiH12C2N2F6 structure (PBEsol, Alexandria via LeMat-Bulk).

Properties
- Total magnetic moment: 0.000 μB per atom
- Space-group type: Pnnm
- Offset from the most stable computed form: 0.0000 eV/atom

a = 6.407 Å, b = 7.003 Å, c = 9.318 Å
α = 90.00°, β = 90.00°, γ = 90.00°
Fractional positions:
C: 0.000 0.501 0.789
C: 0.000 0.499 0.211
C: 0.500 0.999 0.289
C: 0.500 0.001 0.711
F: 0.689 0.328 0.490
F: 0.689 0.672 0.510
F: 0.811 0.172 0.990
F: 0.811 0.828 0.010
F: 0.311 0.672 0.510
F: 0.311 0.328 0.490
F: 0.189 0.828 0.010
F: 0.189 0.172 0.990
F: 0.500 0.483 0.683
F: 0.500 0.517 0.317
F: 0.000 0.017 0.183
F: 0.000 0.983 0.817
H: 0.869 0.339 0.622
H: 0.869 0.661 0.378
H: 0.631 0.161 0.122
H: 0.631 0.839 0.878
H: 0.131 0.661 0.378
H: 0.131 0.339 0.622
H: 0.369 0.839 0.878
H: 0.369 0.161 0.122
H: 0.000 0.207 0.745
H: 0.000 0.793 0.255
H: 0.500 0.293 0.245
H: 0.500 0.707 0.755
H: 0.861 0.494 0.857
H: 0.861 0.506 0.143
H: 0.639 0.006 0.357
H: 0.639 0.994 0.643
H: 0.139 0.506 0.143
H: 0.139 0.494 0.857
H: 0.361 0.994 0.643
H: 0.361 0.006 0.357
H: 0.000 0.635 0.727
H: 0.000 0.365 0.273
H: 0.500 0.865 0.227
H: 0.500 0.135 0.773
N: 0.000 0.337 0.689
N: 0.000 0.663 0.311
N: 0.500 0.163 0.189
N: 0.500 0.837 0.811
Si: 0.500 0.500 0.500
Si: 0.000 0.000 0.000

---

D(E_F) (states/eV/cell)
0.000; 0.000; 0.000; 0.000; 0.000; 0.000